No. 1
{"formula": "TiNbW4", "functional": "PBE-GGA", "state": "relaxed", "formation_energy_ev_per_fu": 0.275, "e_above_lowest_polymorph_mev_per_atom": 118, "dos_ef_per_ev_atom": 0.742, "energy_ev_per_atom": -11.58, "lattice_angstrom": [[5.302, 0.000, 0.000], [2.651, 4.591, 0.000], [2.651, 1.530, 4.329]], "species": ["W", "W", "W", "W", "Nb", "Ti"], "frac_coords": [[0.625, 0.125, 0.625], [0.625, 0.625, 0.625], [0.625, 0.625, 0.125], [0.125, 0.625, 0.625], [0.250, 0.250, 0.250], [0.000, 0.000, 0.000]]}


No. 2
{"formula": "Ti3Nb2W4", "functional": "PBE-GGA", "state": "relaxed", "formation_energy_ev_per_fu": 1.276, "dos_ef_per_ev_atom": 1.098, "energy_ev_per_atom": -10.48, "lattice_angstrom": [[4.830, -0.063, 0.041], [0.091, 7.975, 1.181], [-0.062, 0.705, 8.031]], "species": ["Nb", "Nb", "Nb", "Nb", "Ti", "Ti", "Ti", "Ti", "Ti", "Ti", "W", "W", "W", "W", "W", "W", "W", "W"], "frac_coords": [[0.500, 0.182, 0.362], [0.000, 0.362, 0.182], [0.000, 0.638, 0.818], [0.500, 0.818, 0.638], [0.250, 0.500, 0.500], [0.500, 0.165, 0.035], [0.000, 0.965, 0.835], [0.750, 0.500, 0.500], [0.000, 0.035, 0.165], [0.500, 0.835, 0.965], [0.500, 0.831, 0.295], [0.000, 0.156, 0.528], [0.500, 0.528, 0.156], [0.000, 0.295, 0.831], [0.500, 0.472, 0.844], [0.000, 0.844, 0.472], [0.000, 0.705, 0.169], [0.500, 0.169, 0.705]]}


No. 3
{"formula": "TiNb5W6", "functional": "PBE-GGA", "state": "relaxed", "formation_energy_ev_per_fu": -0.351, "dos_ef_per_ev_atom": 1.072, "energy_ev_per_atom": -11.36, "lattice_angstrom": [[-3.895, 2.018, -1.307], [-2.036, -6.399, 4.165], [4.461, 5.604, 3.337]], "species": ["Nb", "Nb", "Nb", "Nb", "Nb", "W", "W", "W", "W", "W", "W", "Ti"], "frac_coords": [[0.500, 0.165, 0.835], [0.500, 0.500, 0.500], [0.000, 0.333, 0.667], [0.500, 0.835, 0.165], [0.000, 0.667, 0.333], [0.750, 0.250, 0.250], [0.750, 0.916, 0.583], [0.250, 0.084, 0.417], [0.250, 0.417, 0.084], [0.750, 0.583, 0.916], [0.250, 0.750, 0.750], [0.000, 0.000, 0.000]]}


No. 4
{"formula": "Ti3Nb2W", "functional": "PBE-GGA", "state": "relaxed", "formation_energy_ev_per_fu": 3.337, "dos_ef_per_ev_atom": 1.291, "energy_ev_per_atom": -8.91, "lattice_angstrom": [[-0.963, -3.901, -1.657], [6.854, -2.313, 1.462], [-4.359, -1.383, 5.792]], "species": ["Ti", "Ti", "Ti", "Ti", "Ti", "Ti", "W", "W", "Nb", "Nb", "Nb", "Nb"], "frac_coords": [[0.493, 0.097, 0.654], [0.993, 0.903, 0.346], [0.993, 0.346, 0.903], [0.493, 0.927, 0.927], [0.993, 0.073, 0.073], [0.493, 0.654, 0.097], [0.993, 0.736, 0.736], [0.493, 0.264, 0.264], [0.493, 0.490, 0.713], [0.993, 0.287, 0.510], [0.493, 0.713, 0.490], [0.993, 0.510, 0.287]]}


No. 5
{"formula": "TiNb3W4", "functional": "PBE-GGA", "state": "relaxed", "formation_energy_ev_per_fu": -0.171, "dos_ef_per_ev_atom": 0.943, "energy_ev_per_atom": -11.26, "lattice_angstrom": [[-1.210, -0.328, 2.975], [0.604, -4.524, -0.254], [8.361, 0.920, 3.501]], "species": ["W", "W", "W", "W", "Nb", "Nb", "Nb", "Ti"], "frac_coords": [[0.000, 0.500, 0.248], [0.000, 0.500, 0.752], [0.000, 0.000, 0.500], [0.000, 0.000, 0.000], [0.500, 0.500, 0.500], [0.500, 0.000, 0.754], [0.500, 0.000, 0.246], [0.500, 0.500, 0.000]]}


No. 6
{"formula": "Ti2Nb6W", "functional": "PBE-GGA", "state": "relaxed", "formation_energy_ev_per_fu": 7.231, "e_above_lowest_polymorph_mev_per_atom": 807, "dos_ef_per_ev_atom": 0.925, "energy_ev_per_atom": -9.10, "lattice_angstrom": [[-2.996, 2.935, 1.379], [-3.800, -1.709, -4.617], [0.699, -5.228, 5.549]], "species": ["Nb", "Nb", "Nb", "Nb", "Nb", "Nb", "Ti", "Ti", "W"], "frac_coords": [[0.500, 0.249, 0.000], [0.168, 0.419, 0.336], [0.168, 0.917, 0.336], [0.832, 0.581, 0.664], [0.500, 0.751, 0.000], [0.832, 0.083, 0.664], [0.334, 0.333, 0.667], [0.666, 0.667, 0.333], [0.000, 0.000, 0.000]]}


Which total moment belongs to each record? In order, 0.00, 0.00, 0.00, 0.00, 0.00, 0.00 Bohr magnetons per cell.